4
Lattice="1.986 -2.580 0.000 1.986 2.580 0.000 0.000 0.000 8.741" Properties=species:S:1:pos:R:3 comment="ZrInAs2 | Alexandria via LeMat-Bulk | PBE-GGA | relaxed" formation_energy_ev_per_atom=-0.365 e_tot_ev_per_atom=-5.51 pbc="T T T"
Zr 0.000 0.000 0.000
In 0.000 0.000 4.370
As 1.986 0.000 1.870
As 1.986 0.000 6.871